Computed, not measured: HoGaHg2 after structural relaxation at the GGA-PBE level of DFT.

Values from the calculation:
As for the formation energy: -251 meV/atom. The theoretical density comes out at 11280 kg/m³. As for the space group: P4/mmm (123).

abc: 3.7653 3.7653 6.6020
angles: 90.00 90.00 90.00
Last column: nearest neighbours and their distance in Å.
Element x y z (fractional)
Ho 0.0000 0.0000 0.0000  8 Hg 3.17, 2 Ga 3.30
Ga 0.0000 0.0000 0.5000  8 Hg 3.10, 2 Ho 3.30
Hg 0.5000 0.5000 0.2601  4 Ga 3.10, 2 Hg 3.17-3.43, 4 Ho 3.17
Hg 0.5000 0.5000 0.7399  4 Ga 3.10, 2 Hg 3.17-3.43, 4 Ho 3.17